Record 1
Computed, not measured: an optimized crystal structure of Ni3GeBi at the PBE level of DFT.

VASP energy: -5.199 eV/atom
Excess energy over the best structure of this formula in the dataset: 0 meV per atom
ΔE_f: -0.030 eV per atom
N(E_F): 15.8 states/eV per cell

Cell lengths 6.416, 6.625, 7.767 Å; angles 105.19, 90.00, 90.00 degrees
Atoms (fractional coordinates):
Bi: 0.810 0.647 0.134
Ni: 0.018 0.650 0.429
Ni: 0.482 0.650 0.929
Ge: 0.718 0.100 0.442
Ge: 0.218 0.900 0.058
Ni: 0.928 0.003 0.659
Ni: 0.518 0.350 0.071
Ni: 0.382 0.721 0.266
Bi: 0.190 0.353 0.866
Ge: 0.282 0.900 0.558
Bi: 0.310 0.353 0.366
Ni: 0.882 0.279 0.234
Ni: 0.428 0.997 0.841
Bi: 0.690 0.647 0.634
Ni: 0.072 0.997 0.341
Ni: 0.118 0.721 0.766
Ge: 0.782 0.100 0.942
Ni: 0.982 0.350 0.571
Ni: 0.572 0.003 0.159
Ni: 0.618 0.279 0.734

***

Record 2
Computed, not measured: an optimized crystal structure of Ni2Ge2Bi at the PBE level of DFT.

VASP energy: -4.854 eV/atom
Excess energy over the best structure of this formula in the dataset: 108 meV per atom
ΔE_f: 0.082 eV per atom
N(E_F): 6.5 states/eV per cell

Cell lengths 7.369, 7.369, 3.133 Å; angles 90.00, 90.00, 90.00 degrees
Atoms (fractional coordinates):
Ni: 0.128 0.372 0.000
Ge: 0.644 0.856 0.500
Ge: 0.356 0.144 0.500
Ni: 0.372 0.872 0.000
Ge: 0.144 0.644 0.500
Bi: 0.000 0.000 0.000
Bi: 0.500 0.500 0.000
Ni: 0.872 0.628 0.000
Ge: 0.856 0.356 0.500
Ni: 0.628 0.128 0.000

***

Record 3
Computed, not measured: an optimized crystal structure of Ni2Ge2Bi at the PBE level of DFT.

VASP energy: -4.962 eV/atom
Excess energy over the best structure of this formula in the dataset: 0 meV per atom
ΔE_f: -0.026 eV per atom
N(E_F): 3.2 states/eV per cell

Cell lengths 4.251, 4.251, 5.643 Å; angles 67.87, 67.87, 90.00 degrees
Atoms (fractional coordinates):
Ge: 0.367 0.367 0.265
Ge: 0.633 0.633 0.735
Bi: 0.000 0.000 0.000
Ni: 0.250 0.750 0.500
Ni: 0.750 0.250 0.500

***

| no. | density (kg/m³) |
| --- | --- |
| 1 | 9541 |
| 2 | 9207 |
| 3 | 9075 |